# SmDyGaNi, optimized geometry, DFT GGA-PBE
data_SmDyGaNi
_chemical_formula_sum 'Sm2 Dy2 Ga2 Ni2'
_cell_length_a 4.349
_cell_length_b 3.786
_cell_length_c 10.999
_cell_angle_alpha 90.00
_cell_angle_beta 90.00
_cell_angle_gamma 90.00
_space_group_name_H-M_alt 'A m m 2'
_space_group_IT_number 38
loop_
_space_group_symop_operation_xyz
'x,y,z'
'-x,-y,z'
'-x,y,z'
'x,-y,z'
'x,y+1/2,z+1/2'
'-x,-y+1/2,z+1/2'
'-x,y+1/2,z+1/2'
'x,-y+1/2,z+1/2'
loop_
_atom_site_label
_atom_site_type_symbol
_atom_site_fract_x
_atom_site_fract_y
_atom_site_fract_z
Sm1 Sm 0.000 0.000 0.000
Dy1 Dy 0.500 0.000 0.716
Ga1 Ga 0.500 0.000 0.424
Ni1 Ni 0.000 0.000 0.289
# Energy of formation from the pure elements in kJ/mol of formula units: -179
# Density of states at the Fermi level in states/eV/f.u.: 3.95
# M_tot in μB per formula unit: 0.00



# Dy3Ga2Ni9Sn, optimized geometry, DFT GGA-PBE
data_Dy3Ga2Ni9Sn
_chemical_formula_sum 'Dy3 Ga2 Ni9 Sn1'
_cell_length_a 5.9649
_cell_length_b 5.9649
_cell_length_c 9.0240
_cell_angle_alpha 90.00
_cell_angle_beta 90.00
_cell_angle_gamma 120.00
_space_group_name_H-M_alt 'P -3 m 1'
_space_group_IT_number 164
_space_group_name_Hall '-P 3 2"'
loop_
_atom_site_label
_atom_site_type_symbol
_atom_site_fract_x
_atom_site_fract_y
_atom_site_fract_z
Dy1 Dy 0.0000 0.0000 0.0000
Dy2 Dy 0.3333 0.6667 0.7358
Ga1 Ga 0.3333 0.6667 0.1768
Ni1 Ni 0.0000 0.5000 0.0000
Ni2 Ni 0.1327 0.2654 0.2659
Sn1 Sn 0.0000 0.0000 0.5000
# Energy of formation from the pure elements in kJ/mol of formula units: -178
# Density of states at the Fermi level in states/eV/f.u.: 9.45
# M_tot in μB per formula unit: 0.00